The following is a DFT calculation (GGA+U) of a relaxed structure of CrIrPdO6.

Output
Magnetization in μB per formula unit: 1.487
Density in Mg/m³: 7.619
N(E_F) in states/eV per atom: 0.67
E in eV/atom: -6.559

a = 5.0692 Å, b = 5.0692 Å, c = 8.7488 Å
α = 90.00°, β = 90.00°, γ = 120.00°
Space group P-31c (No. 163)
Unique sites:
Cr1 0.3333 0.6667 0.2500 [2 per cell]
Ir1 0.3333 0.6667 0.7500 [2 per cell]
Pd1 0.0000 0.0000 0.0000 [2 per cell]
O1 0.0019 0.3535 0.6267 [12 per cell]